Here is a geometry-optimized Rb4CuH7 structure from Alexandria. Energies are from GGA-PBE.

Unit cell a=3.751 b=7.994 c=8.993 alpha=68.01 beta=77.96 gamma=76.43
Element x y z (fractional)
H  0.243  0.510  0.004
H  0.361  0.744  0.534
H  0.639  0.256  0.466
H  0.948  0.917  0.186
H  0.052  0.083  0.814
H  0.757  0.490  0.996
H  0.500  0.000  0.000
Rb  0.443  0.372  0.742
Rb  0.557  0.628  0.258
Rb  0.713  0.856  0.718
Rb  0.287  0.144  0.282
Cu  0.000  0.000  0.000

The value obtained for the size of the total moment is 0.298 μB/f.u. As for the symmetry: No. 12. Its raw total energy is -2.537 eV/atom. The value obtained for the density of states at the Fermi level is 0.04 states/eV per atom.